## NaMgZnPt (GGA-PBE)

Data for a relaxed NaMgZnPt crystal.

a = 6.490 Å, b = 6.490 Å, c = 6.490 Å
α = 90.00°, β = 90.00°, γ = 90.00°
Space group F-43m (No. 216)
Asymmetric unit:
Na 0.000 0.000 0.000 x4
Mg 0.250 0.250 0.250 x4
Zn 0.250 0.250 0.750 x4
Pt 0.000 0.000 0.500 x4

Results
Its formation energy is -0.361 eV per atom. The calculated volume is 17.1 Å³/atom.

## Ba8P3PtCl3 (GGA-PBE)

Data for a relaxed Ba8P3PtCl3 crystal.

a = 9.3113 Å, b = 9.3113 Å, c = 22.9536 Å
α = 90.00°, β = 90.00°, γ = 120.00°
Space group R-3m (No. 166, hexagonal axes)
Asymmetric unit:
Ba 0.0000 0.0000 0.2421 x6
Ba 0.0056 0.5028 0.7583 x18
P 0.0000 0.5000 0.5000 x9
Pt 0.0000 0.0000 0.5000 x3
Cl 0.0000 0.5000 0.0000 x9

Results
The calculated volume is 38.3 Å³/atom. The energy comes out at -4.2950 eV per atom.

Copy entry 2 word for word.
## Ba8P3PtCl3 (GGA-PBE)

Data for a relaxed Ba8P3PtCl3 crystal.

a = 9.3113 Å, b = 9.3113 Å, c = 22.9536 Å
α = 90.00°, β = 90.00°, γ = 120.00°
Space group R-3m (No. 166, hexagonal axes)
Asymmetric unit:
Ba 0.0000 0.0000 0.2421 x6
Ba 0.0056 0.5028 0.7583 x18
P 0.0000 0.5000 0.5000 x9
Pt 0.0000 0.0000 0.5000 x3
Cl 0.0000 0.5000 0.0000 x9

Results
The calculated volume is 38.3 Å³/atom. The energy comes out at -4.2950 eV per atom.